No. 1
ZrCd2Co | PBE | relaxed

E_form = 173 meV/atom
E_tot = -16.790 eV for the cell shown
ΔE to the lowest computed polymorph = 0.246 eV per atom

Unit cell a=2.8918 b=4.2765 c=6.0349 alpha=90.00 beta=90.00 gamma=90.00
Sites, in units of the cell vectors:
Zr: 0.0000 0.0000 0.0000
Cd: 0.5000 0.5000 0.2717
Cd: 0.5000 0.5000 0.7283
Co: 0.0000 0.0000 0.5000

=====

No. 2
PuMgNp | PBE | relaxed

E_form = 207 meV/atom
E_tot = -112.991 eV for the cell shown

Unit cell a=10.4179 b=3.5230 c=7.3730 alpha=90.00 beta=96.39 gamma=90.00
Sites, in units of the cell vectors:
Pu: 0.1980 0.0000 0.1443
Pu: 0.3020 0.5000 0.8557
Pu: 0.6980 0.5000 0.1443
Pu: 0.8020 0.0000 0.8557
Mg: 0.1377 0.0000 0.5582
Mg: 0.3623 0.5000 0.4418
Mg: 0.6377 0.5000 0.5582
Mg: 0.8623 0.0000 0.4418
Np: 0.0397 0.5000 0.1635
Np: 0.4603 0.0000 0.8365
Np: 0.5397 0.0000 0.1635
Np: 0.9603 0.5000 0.8365

=====

No. 3
MgMnAsH2 | PBE | relaxed

E_tot = -19.547 eV for the cell shown

Unit cell a=3.8174 b=3.8174 c=4.9850 alpha=90.00 beta=90.00 gamma=90.00
Sites, in units of the cell vectors:
Mg: 0.0000 0.0000 0.0000
Mn: 0.5000 0.5000 0.0000
As: 0.5000 0.5000 0.5000
H: 0.0000 0.5000 0.5000
H: 0.5000 0.0000 0.5000

=====

No. 4
Ti3NbC4 | PBE | relaxed

E_form = -756 meV/atom
E_tot = -153.394 eV for the cell shown

Unit cell a=6.1943 b=8.7487 c=3.1065 alpha=90.00 beta=90.00 gamma=90.00
Sites, in units of the cell vectors:
Ti: 0.0000 0.0000 0.0000
Ti: 0.2500 0.2500 0.5000
Ti: 0.2500 0.7500 0.5000
Ti: 0.5000 0.5000 0.0000
Ti: 0.7500 0.2500 0.5000
Ti: 0.7500 0.7500 0.5000
Nb: 0.0000 0.5000 0.0000
Nb: 0.5000 0.0000 0.0000
C: 0.0000 0.2479 0.0000
C: 0.0000 0.7521 0.0000
C: 0.2451 0.0000 0.5000
C: 0.2549 0.5000 0.5000
C: 0.5000 0.2521 0.0000
C: 0.5000 0.7479 0.0000
C: 0.7451 0.5000 0.5000
C: 0.7549 0.0000 0.5000